No. 1
# PBE TaV2FeH, relaxed
# calculated volume: 11.49 Å³/atom
# M_tot: 0.080 μB per atom
# calculated density: 9.8 g/cm3
# uncorrected energy: -8.402 eV/atom
# ΔE to the lowest computed polymorph: 0 meV per atom
data_TaV2FeH
_chemical_formula_sum 'Ta1 V2 Fe1 H1'
_space_group_name_H-M_alt 'P 4/m m m'
_space_group_IT_number 123
_space_group_name_Hall '-P 4 2'
_cell_length_a 4.179
_cell_length_b 4.179
_cell_length_c 3.289
_cell_angle_alpha 90.00
_cell_angle_beta 90.00
_cell_angle_gamma 90.00
loop_
_atom_site_label
_atom_site_fract_x
_atom_site_fract_y
_atom_site_fract_z
Ta1 0.000 0.000 0.000
V1 0.000 0.500 0.500
Fe1 0.500 0.500 0.000
H1 0.500 0.500 0.500

---

No. 2
# PBE Li6Br4O, relaxed
# calculated volume: 24.61 Å³/atom
# M_tot: 0.007 μB per atom
# calculated density: 2.3 g/cm3
# uncorrected energy: -3.635 eV/atom
# formation energy from raw total energies: -1532 meV/atom
data_Li6Br4O
_chemical_formula_sum 'Li24 Br16 O4'
_space_group_name_H-M_alt 'C 1 c 1'
_space_group_IT_number 9
_cell_length_a 12.659
_cell_length_b 7.099
_cell_length_c 12.936
_cell_angle_alpha 90.00
_cell_angle_beta 111.31
_cell_angle_gamma 90.00
loop_
_space_group_symop_operation_xyz
'x,y,z'
'x,-y,z+1/2'
'x+1/2,y+1/2,z'
'x+1/2,-y+1/2,z+1/2'
loop_
_atom_site_label
_atom_site_fract_x
_atom_site_fract_y
_atom_site_fract_z
Li1 0.000 0.027 0.000
Li2 0.157 0.185 0.832
Li3 0.185 0.188 0.546
Li4 0.286 0.265 0.207
Li5 0.480 0.093 0.994
Li6 0.480 0.301 0.816
Br1 0.100 0.114 0.206
Br2 0.264 0.377 0.724
Br3 0.296 0.108 0.031
Br4 0.475 0.193 0.365
O1 0.038 0.198 0.463

---

No. 3
# PBE Ba2SrCdF, relaxed
# calculated volume: 35.85 Å³/atom
# M_tot: 0.000 μB per atom
# calculated density: 4.6 g/cm3
# uncorrected energy: -2.811 eV/atom
# formation energy from raw total energies: -1148 meV/atom
data_Ba2SrCdF
_chemical_formula_sum 'Ba2 Sr1 Cd1 F1'
_space_group_name_H-M_alt 'P 4/m m m'
_space_group_IT_number 123
_space_group_name_Hall '-P 4 2'
_cell_length_a 6.053
_cell_length_b 6.053
_cell_length_c 4.892
_cell_angle_alpha 90.00
_cell_angle_beta 90.00
_cell_angle_gamma 90.00
loop_
_atom_site_label
_atom_site_fract_x
_atom_site_fract_y
_atom_site_fract_z
Ba1 0.000 0.500 0.000
Sr1 0.000 0.000 0.500
Cd1 0.500 0.500 0.500
F1 0.000 0.000 0.000